# 1
# Ba2GaHgH PBE relaxed
data_Ba2GaHgH
_chemical_formula_sum 'Ba2 Ga1 Hg1 H1'
_cell_length_a 5.748
_cell_length_b 5.748
_cell_length_c 4.328
_cell_angle_alpha 90.00
_cell_angle_beta 90.00
_cell_angle_gamma 90.00
_symmetry_space_group_name_H-M 'P 4/m m m'
_symmetry_Int_Tables_number 123
_symmetry_space_group_name_Hall '-P 4 2'
loop_
_atom_site_label
_atom_site_type_symbol
_atom_site_fract_x
_atom_site_fract_y
_atom_site_fract_z
Ba1 Ba 0.000 0.500 0.000
Ga1 Ga 0.000 0.000 0.500
Hg1 Hg 0.500 0.500 0.500
H1 H 0.000 0.000 0.000
# Crystal system: tetragonal
# Energy above the lowest structure with this stoichiometry in eV/atom: 0.0000

=====

# 2
# Ba6Ga2HI3 PBE relaxed
data_Ba6Ga2HI3
_chemical_formula_sum 'Ba12 Ga4 H2 I6'
_cell_length_a 8.189
_cell_length_b 14.131
_cell_length_c 9.150
_cell_angle_alpha 90.00
_cell_angle_beta 107.28
_cell_angle_gamma 90.00
_symmetry_space_group_name_H-M 'C 1 2/m 1'
_symmetry_Int_Tables_number 12
loop_
_symmetry_equiv_pos_as_xyz
'x,y,z'
'-x,-y,-z'
'-x,y,-z'
'x,-y,z'
'x+1/2,y+1/2,z'
'-x+1/2,-y+1/2,-z'
'-x+1/2,y+1/2,-z'
'x+1/2,-y+1/2,z'
loop_
_atom_site_label
_atom_site_type_symbol
_atom_site_fract_x
_atom_site_fract_y
_atom_site_fract_z
Ba1 Ba 0.232 0.162 0.210
Ba2 Ba 0.245 0.500 0.213
Ga1 Ga 0.000 0.334 0.000
H1 H 0.000 0.000 0.000
I1 I 0.000 0.168 0.500
I2 I 0.000 0.500 0.500
# Crystal system: monoclinic

=====

# 3
# BaGaH4I PBE relaxed
data_BaGaH4I
_chemical_formula_sum 'Ba4 Ga4 H16 I4'
_cell_length_a 13.014
_cell_length_b 6.529
_cell_length_c 6.707
_cell_angle_alpha 90.00
_cell_angle_beta 91.51
_cell_angle_gamma 90.00
_symmetry_space_group_name_H-M 'C 1 2/m 1'
_symmetry_Int_Tables_number 12
loop_
_symmetry_equiv_pos_as_xyz
'x,y,z'
'-x,-y,-z'
'-x,y,-z'
'x,-y,z'
'x+1/2,y+1/2,z'
'-x+1/2,-y+1/2,-z'
'-x+1/2,y+1/2,-z'
'x+1/2,-y+1/2,z'
loop_
_atom_site_label
_atom_site_type_symbol
_atom_site_fract_x
_atom_site_fract_y
_atom_site_fract_z
Ba1 Ba 0.230 0.000 0.230
Ga1 Ga 0.087 0.000 0.772
H1 H 0.033 0.000 0.195
H2 H 0.115 0.000 0.545
H3 H 0.140 0.193 0.889
I1 I 0.130 0.500 0.308
# Crystal system: monoclinic

=====

# 4
# KBaGa2H8 PBE relaxed
data_KBaGa2H8
_chemical_formula_sum 'K1 Ba1 Ga2 H8'
_cell_length_a 4.8521
_cell_length_b 4.8521
_cell_length_c 9.5330
_cell_angle_alpha 90.00
_cell_angle_beta 90.00
_cell_angle_gamma 120.00
_symmetry_space_group_name_H-M 'P -3'
_symmetry_Int_Tables_number 147
loop_
_symmetry_equiv_pos_as_xyz
'x,y,z'
'-x,-y,-z'
'-y,x-y,z'
'y,-x+y,-z'
'-x+y,-x,z'
'x-y,x,-z'
loop_
_atom_site_label
_atom_site_type_symbol
_atom_site_fract_x
_atom_site_fract_y
_atom_site_fract_z
K1 K 0.0000 0.0000 0.0000
Ba1 Ba 0.0000 0.0000 0.5000
Ga1 Ga 0.3333 0.6667 0.2759
H1 H 0.0484 0.3207 0.2414
H2 H 0.3333 0.6667 0.4545
# Crystal system: trigonal

=====

# 5
# Ba2LiGaH PBE relaxed
data_Ba2LiGaH
_chemical_formula_sum 'Ba2 Li1 Ga1 H1'
_cell_length_a 5.731
_cell_length_b 5.731
_cell_length_c 4.230
_cell_angle_alpha 90.00
_cell_angle_beta 90.00
_cell_angle_gamma 90.00
_symmetry_space_group_name_H-M 'P 4/m m m'
_symmetry_Int_Tables_number 123
_symmetry_space_group_name_Hall '-P 4 2'
loop_
_atom_site_label
_atom_site_type_symbol
_atom_site_fract_x
_atom_site_fract_y
_atom_site_fract_z
Ba1 Ba 0.000 0.500 0.000
Li1 Li 0.000 0.000 0.500
Ga1 Ga 0.500 0.500 0.500
H1 H 0.000 0.000 0.000
# Crystal system: tetragonal
# Energy above the lowest structure with this stoichiometry in eV/atom: 0.0000

=====

# 6
# Ba2LiGaH PBE relaxed
data_Ba2LiGaH
_chemical_formula_sum 'Ba4 Li2 Ga2 H2'
_cell_length_a 7.564
_cell_length_b 4.392
_cell_length_c 9.284
_cell_angle_alpha 90.00
_cell_angle_beta 107.33
_cell_angle_gamma 90.00
_symmetry_space_group_name_H-M 'P 1 21/m 1'
_symmetry_Int_Tables_number 11
loop_
_symmetry_equiv_pos_as_xyz
'x,y,z'
'-x,-y,-z'
'-x,y+1/2,-z'
'x,-y+1/2,z'
loop_
_atom_site_label
_atom_site_type_symbol
_atom_site_fract_x
_atom_site_fract_y
_atom_site_fract_z
Ba1 Ba 0.193 0.250 0.411
Ba2 Ba 0.223 0.250 0.952
Li1 Li 0.435 0.750 0.249
Ga1 Ga 0.339 0.750 0.712
H1 H 0.172 0.750 0.172
# Crystal system: monoclinic
# Energy above the lowest structure with this stoichiometry in eV/atom: 0.0480

=====

# 7
# Ba2LiGaH PBE relaxed
data_Ba2LiGaH
_chemical_formula_sum 'Ba2 Li1 Ga1 H1'
_cell_length_a 5.684
_cell_length_b 5.684
_cell_length_c 4.442
_cell_angle_alpha 90.00
_cell_angle_beta 90.00
_cell_angle_gamma 90.00
_symmetry_space_group_name_H-M 'P 4/m m m'
_symmetry_Int_Tables_number 123
_symmetry_space_group_name_Hall '-P 4 2'
loop_
_atom_site_label
_atom_site_type_symbol
_atom_site_fract_x
_atom_site_fract_y
_atom_site_fract_z
Ba1 Ba 0.000 0.500 0.000
Li1 Li 0.000 0.000 0.500
Ga1 Ga 0.500 0.500 0.500
H1 H 0.500 0.500 0.000
# Crystal system: tetragonal
# Energy above the lowest structure with this stoichiometry in eV/atom: 0.1370

=====

# 8
# BaLiGaH2 PBE relaxed
data_BaLiGaH2
_chemical_formula_sum 'Ba1 Li1 Ga1 H2'
_cell_length_a 4.783
_cell_length_b 4.783
_cell_length_c 6.725
_cell_angle_alpha 90.00
_cell_angle_beta 90.00
_cell_angle_gamma 90.00
_symmetry_space_group_name_H-M 'P 4/m m m'
_symmetry_Int_Tables_number 123
_symmetry_space_group_name_Hall '-P 4 2'
loop_
_atom_site_label
_atom_site_type_symbol
_atom_site_fract_x
_atom_site_fract_y
_atom_site_fract_z
Ba1 Ba 0.000 0.000 0.000
Li1 Li 0.500 0.500 0.500
Ga1 Ga 0.000 0.000 0.500
H1 H 0.000 0.500 0.000
# Crystal system: tetragonal

=====

Calculated electronic total energy (eV/atom), listed in the same order as above: -2.4635, -2.9502, -3.3530, -3.1435, -2.7297, -2.6817, -2.5927, -2.3653